(1)
This record from the Alexandria database describes an optimized crystal structure of Li2Ni3GeO6. The functional is PBE+U.

Its space-group type is C2/m, No. 12. Its density of states at the Fermi level is 0.000 states/eV per cell. The value obtained for the uncorrected energy is -5.315 eV/atom. As for the volume: 108 Å³/cell.

Cell lengths 5.1156, 5.1156, 5.0770 Å; angles 99.90, 99.90, 119.73 degrees
Each line ends with the local moment (μB).
Atoms (fractional coordinates):
Li 0.3346 0.6654 0.0000  0.01
Li 0.6654 0.3346 0.0000  0.01
Ni 0.1689 0.8311 0.5000  1.75
Ni 0.8311 0.1689 0.5000  1.75
Ni 0.5000 0.5000 0.5000  1.75
Ge 0.0000 0.0000 0.0000  0.03
O 0.9191 0.6108 0.7547  0.10
O 0.7743 0.7743 0.2355  0.12
O 0.0809 0.3892 0.2453  0.10
O 0.6108 0.9191 0.7547  0.10
O 0.2257 0.2257 0.7645  0.12
O 0.3892 0.0809 0.2453  0.10


(2)
This record from the Alexandria database describes an optimized crystal structure of Li3Ni2GeO6. The functional is PBE+U.

Its space-group type is C2/m, No. 12. Its density of states at the Fermi level is 4.546 states/eV per cell. The value obtained for the uncorrected energy is -5.356 eV/atom. As for the volume: 107 Å³/cell.

Cell lengths 5.0588, 5.0588, 5.1282 Å; angles 99.82, 99.82, 119.63 degrees
Each line ends with the local moment (μB).
Atoms (fractional coordinates):
Li 0.1700 0.8300 0.5000  0.01
Li 0.8300 0.1700 0.5000  0.01
Li 0.5000 0.5000 0.5000  0.01
Ni 0.3330 0.6670 0.0000  1.60
Ni 0.6670 0.3330 0.0000  1.60
Ge 0.0000 0.0000 0.0000  0.00
O 0.9262 0.6106 0.7726  -0.03
O 0.7591 0.7591 0.2214  -0.04
O 0.0738 0.3894 0.2274  -0.03
O 0.6106 0.9262 0.7726  -0.03
O 0.2409 0.2409 0.7786  -0.04
O 0.3894 0.0738 0.2274  -0.03


(3)
This record from the Alexandria database describes an optimized crystal structure of Li2NiGeO4. The functional is PBE+U.

Its space-group type is Imma, No. 74. Its density of states at the Fermi level is 0.000 states/eV per cell. The value obtained for the uncorrected energy is -5.573 eV/atom. As for the volume: 145 Å³/cell.

Cell lengths 5.8937, 5.8937, 5.9399 Å; angles 120.25, 120.25, 90.06 degrees
Each line ends with the local moment (μB).
Atoms (fractional coordinates):
Li 0.5000 0.0000 0.0000  0.01
Li 0.5000 0.0000 0.5000  0.01
Li 0.0000 0.0000 0.5000  0.00
Li 0.5000 0.5000 0.0000  0.00
Ni 0.0000 0.5000 0.0000  1.74
Ni 0.0000 0.5000 0.5000  1.74
Ge 0.5000 0.5000 0.5000  -0.01
Ge 0.0000 0.0000 0.0000  -0.01
O 0.2202 0.7698 0.9951  0.08
O 0.7302 0.2798 0.5049  0.08
O 0.2698 0.7202 0.4950  0.08
O 0.7798 0.2302 0.0050  0.08
O 0.7505 0.7495 0.9778  0.04
O 0.7505 0.7495 0.5222  0.04
O 0.2495 0.2505 0.4778  0.04
O 0.2495 0.2505 0.0222  0.04